Record 1
Entry from Alexandria: a relaxed Te3Ir crystal (GGA-PBE).

Uncorrected formation energy   0.669 eV per atom

Unit cell a=5.193 b=5.193 c=3.395 alpha=90.00 beta=90.00 gamma=90.05
Sites, in units of the cell vectors:
Ir  0.000  0.000  0.000
Te  0.500  0.500  0.000
Te  0.500  0.000  0.500
Te  0.000  0.500  0.500

***

Record 2
Entry from Alexandria: a relaxed PrDyTh2Se4 crystal (GGA-PBE).

Uncorrected formation energy   -1.650 eV per atom

Unit cell a=4.181 b=7.140 c=7.370 alpha=109.28 beta=90.00 gamma=90.00
Sites, in units of the cell vectors:
Th  0.500  0.000  0.500
Th  0.000  0.500  0.500
Se  0.500  0.256  0.246
Se  0.000  0.740  0.240
Se  0.000  0.260  0.760
Se  0.500  0.744  0.754
Dy  0.500  0.500  0.000
Pr  0.000  0.000  0.000

***

Record 3
Entry from Alexandria: a relaxed LaCeSm6Y2 crystal (GGA-PBE).

Calculated formation energy   239 meV/atom

Unit cell a=9.045 b=6.843 c=6.680 alpha=120.81 beta=102.61 gamma=90.00
Last column: magnetic moment on the atom in μB.
Sites, in units of the cell vectors:
Y  0.837  0.906  0.812  0.05
Y  0.163  0.094  0.188  0.05
Sm  0.805  0.928  0.334  0.03
Sm  0.583  0.366  0.732  0.04
Sm  0.805  0.405  0.334  0.03
Sm  0.417  0.634  0.268  0.04
Sm  0.195  0.595  0.666  0.03
Sm  0.195  0.072  0.666  0.03
La  0.500  0.000  0.000  0.01
Ce  0.000  0.500  0.000  0.81

***

Record 4
Entry from Alexandria: a relaxed Cs2Tl6Hg crystal (GGA-PBE).

Calculated formation energy   -82 meV/atom

Unit cell a=7.641 b=6.911 c=7.748 alpha=85.55 beta=90.00 gamma=123.56
Sites, in units of the cell vectors:
Tl  0.134  0.269  0.331
Tl  0.390  0.216  0.637
Tl  0.610  0.784  0.363
Tl  0.866  0.731  0.669
Tl  0.826  0.216  0.637
Tl  0.174  0.784  0.363
Hg  0.000  0.000  0.000
Cs  0.666  0.332  0.117
Cs  0.334  0.668  0.883

***

Record 5
Entry from Alexandria: a relaxed LaAgSe crystal (GGA-PBE).

Uncorrected formation energy   -1.124 eV per atom

Unit cell a=4.886 b=4.886 c=8.750 alpha=73.79 beta=73.79 gamma=60.00
Sites, in units of the cell vectors:
Ag  0.832  0.832  0.504
Ag  0.168  0.168  0.496
La  0.414  0.414  0.759
La  0.586  0.586  0.241
Se  0.288  0.288  0.135
Se  0.712  0.712  0.865

***

Record 6
Entry from Alexandria: a relaxed Tb3AlSn crystal (GGA-PBE).

Calculated formation energy   -265 meV/atom

Unit cell a=5.887 b=8.484 c=10.909 alpha=90.00 beta=90.00 gamma=90.00
Sites, in units of the cell vectors:
Tb  0.501  0.627  0.604
Tb  0.501  0.627  0.896
Tb  0.750  0.251  0.750
Tb  0.001  0.873  0.896
Tb  0.499  0.373  0.104
Tb  0.250  0.249  0.750
Tb  0.250  0.749  0.250
Tb  0.999  0.127  0.104
Tb  0.001  0.873  0.604
Tb  0.750  0.751  0.250
Tb  0.499  0.373  0.396
Tb  0.999  0.127  0.396
Al  0.498  0.073  0.250
Al  0.502  0.927  0.750
Al  0.002  0.573  0.750
Al  0.998  0.427  0.250
Sn  0.500  0.000  0.000
Sn  0.000  0.500  0.500
Sn  0.000  0.500  0.000
Sn  0.500  0.000  0.500

***

Record 7
Entry from Alexandria: a relaxed Er5OsRh4 crystal (GGA-PBE).

Calculated formation energy   -792 meV/atom

Unit cell a=3.398 b=3.398 c=16.872 alpha=90.00 beta=90.00 gamma=90.00
Sites, in units of the cell vectors:
Rh  0.000  0.000  0.600
Rh  0.000  0.000  0.797
Rh  0.000  0.000  0.400
Rh  0.000  0.000  0.203
Er  0.500  0.500  0.902
Er  0.500  0.500  0.299
Er  0.500  0.500  0.500
Er  0.500  0.500  0.098
Er  0.500  0.500  0.701
Os  0.000  0.000  0.000

***

Record 8
Entry from Alexandria: a relaxed LiScTl3 crystal (GGA-PBE).

Calculated formation energy   154 meV/atom

Unit cell a=5.014 b=5.014 c=5.014 alpha=90.00 beta=90.00 gamma=90.00
Sites, in units of the cell vectors:
Tl  0.500  0.000  0.000
Tl  0.000  0.000  0.500
Tl  0.000  0.500  0.000
Sc  0.500  0.500  0.500
Li  0.000  0.000  0.000

***

Record 9
Entry from Alexandria: a relaxed La2GaNiH crystal (GGA-PBE).

DFT total energy   -0.3601 Ry per atom

Unit cell a=4.326 b=6.232 c=8.040 alpha=103.60 beta=90.00 gamma=90.00
Sites, in units of the cell vectors:
H  0.750  0.179  0.176
H  0.250  0.821  0.824
La  0.750  0.772  0.585
La  0.750  0.760  0.027
La  0.250  0.228  0.415
La  0.250  0.240  0.973
Ni  0.250  0.550  0.763
Ni  0.750  0.450  0.237
Ga  0.250  0.672  0.289
Ga  0.750  0.328  0.711

***

Record 10
Entry from Alexandria: a relaxed NaErAsAu crystal (GGA-PBE).

Calculated formation energy   -733 meV/atom

Unit cell a=4.972 b=4.972 c=4.972 alpha=60.00 beta=60.00 gamma=60.00
Sites, in units of the cell vectors:
Au  0.750  0.750  0.750
As  0.250  0.250  0.250
Er  0.000  0.000  0.000
Na  0.500  0.500  0.500

***

Record 11
Entry from Alexandria: a relaxed K2PbICl crystal (GGA-PBE).

Uncorrected formation energy   -0.655 eV per atom

Unit cell a=7.011 b=5.540 c=7.011 alpha=90.00 beta=90.00 gamma=90.00
Last column: magnetic moment on the atom in μB.
Sites, in units of the cell vectors:
Cl  0.000  0.500  0.000  0.07
K  0.000  0.000  0.500  0.03
K  0.500  0.000  0.000  0.04
I  0.500  0.500  0.500  0.02
Pb  0.000  0.000  0.000  0.56

***

Record 12
Entry from Alexandria: a relaxed CoCu2Ge2 crystal (GGA-PBE).

Calculated formation energy   151 meV/atom

Unit cell a=6.209 b=6.209 c=3.651 alpha=90.00 beta=90.00 gamma=90.00
Sites, in units of the cell vectors:
Cu  0.350  0.150  0.500
Cu  0.850  0.350  0.500
Cu  0.650  0.850  0.500
Cu  0.150  0.650  0.500
Ge  0.348  0.848  0.000
Ge  0.652  0.152  0.000
Ge  0.152  0.348  0.000
Ge  0.848  0.652  0.000
Co  0.500  0.500  0.000
Co  0.000  0.000  0.000

***

Record 13
Entry from Alexandria: a relaxed YIn2Os crystal (GGA-PBE).

Calculated formation energy   60 meV/atom

Unit cell a=3.351 b=3.351 c=7.592 alpha=90.00 beta=90.00 gamma=89.98
Last column: magnetic moment on the atom in μB.
Sites, in units of the cell vectors:
Y  0.500  0.500  0.750  0.28
In  0.000  0.000  0.454  0.00
In  0.000  0.000  0.046  0.00
Os  0.500  0.500  0.250  0.00

***

M_tot for every record listed, in sequence, given in μB/cell: 0.000; 0.000; 1.717; 0.000; 0.000; 0.001; 0.000; 0.000; 0.000; 0.000; 1.985; 0.000; 0.457.